Compound: Mg4In3Ga3
Source: Alexandria via LeMat-Bulk
Functional: PBE-GGA
Structure: optimized geometry

Lattice parameters (Å, degrees): 8.382 8.382 8.382 109.47 109.47 109.47
Sites, in units of the cell vectors:
Mg1 0.000 0.000 0.292
Mg2 0.500 0.292 0.500
Mg3 0.708 0.208 0.208
Mg4 0.000 0.000 0.792
Mg5 0.792 0.500 0.000
Mg6 0.500 0.792 0.500
Mg7 0.292 0.500 0.000
Mg8 0.208 0.708 0.708
In1 0.625 0.750 0.875
In2 0.875 0.250 0.625
In3 0.125 0.375 0.250
In4 0.375 0.125 0.750
In5 0.250 0.875 0.125
In6 0.750 0.625 0.375
Ga1 0.125 0.750 0.375
Ga2 0.375 0.250 0.125
Ga3 0.625 0.875 0.250
Ga4 0.875 0.625 0.750
Ga5 0.250 0.375 0.625
Ga6 0.750 0.125 0.875

ΔE_f in meV per atom: -37
Calculated volume in Å³/f.u.: 227

=====

Compound: K2AuI4
Source: Alexandria via LeMat-Bulk
Functional: PBE-GGA
Structure: optimized geometry

Lattice parameters (Å, degrees): 5.736 5.736 9.873 106.89 106.89 90.00
Sites, in units of the cell vectors:
I1 0.834 0.834 0.669
I2 0.166 0.166 0.331
I3 0.000 0.500 0.000
I4 0.500 0.000 0.000
K1 0.637 0.637 0.274
K2 0.363 0.363 0.726
Au1 0.000 0.000 0.000

Energy relative to the lowest polymorph listed for this composition in eV/atom: 0.038
Calculated volume in Å³/f.u.: 296